Density functional theory data (PBE-GGA) for an optimized crystal structure of ScMoSe2.

For the distance to the lowest polymorph of the same formula, the calculation gives 0.191 eV per atom. The energy is -26.5 eV/cell. Its density of states at the Fermi level is 2.73 states/eV per cell. For the energy relative to the elements, uncorrected, the calculation gives -0.58 eV per atom. Its magnetization is 1.112 μB/f.u.

a = 5.904 Å, b = 5.904 Å, c = 5.904 Å
α = 39.86°, β = 39.86°, γ = 39.86°
Each line ends with the local moment (μB).
Element x y z (fractional)
Mo  0.250  0.250  0.250  1.10
Sc  0.750  0.750  0.750  -0.12
Se  0.507  0.507  0.507  0.01
Se  0.993  0.993  0.993  0.01


Density functional theory data (PBE-GGA) for an optimized crystal structure of LaGa3Pt5.

For the formation energy, the calculation gives -751 meV/atom. The energy is -101.9 eV/cell. Its density of states at the Fermi level is 7.01 states/eV per cell. Its magnetization is 0.000 μB/f.u.

a = 3.968 Å, b = 6.837 Å, c = 13.111 Å
α = 90.00°, β = 90.00°, γ = 106.87°
Element x y z (fractional)
Ga  0.378  0.755  0.966
Ga  0.378  0.755  0.534
La  0.139  0.277  0.250
Pt  0.463  0.927  0.148
Pt  0.463  0.927  0.352
Pt  0.801  0.602  0.422
Ga  0.622  0.245  0.466
La  0.861  0.723  0.750
Ga  0.882  0.764  0.250
Pt  0.199  0.398  0.578
Pt  0.000  0.000  0.000
Ga  0.118  0.236  0.750
Pt  0.537  0.073  0.648
Pt  0.537  0.073  0.852
Ga  0.622  0.245  0.034
Pt  0.199  0.398  0.922
Pt  0.000  0.000  0.500
Pt  0.801  0.602  0.078


Density functional theory data (PBE-GGA) for an optimized crystal structure of K2TeI6.

The energy is -41.5 eV/cell. Its density of states at the Fermi level is 0.00 states/eV per cell. For the energy relative to the elements, uncorrected, the calculation gives -0.68 eV per atom. Its magnetization is 0.000 μB/f.u.

a = 7.935 Å, b = 7.935 Å, c = 15.060 Å
α = 90.00°, β = 90.00°, γ = 90.00°
Element x y z (fractional)
I  0.734  0.734  0.500
Te  0.500  0.500  0.000
I  0.183  0.817  0.357
I  0.317  0.317  0.857
I  0.683  0.683  0.857
K  0.500  0.500  0.666
I  0.817  0.183  0.357
K  0.500  0.500  0.334
I  0.683  0.683  0.143
I  0.266  0.266  0.500
Te  0.000  0.000  0.500
I  0.183  0.817  0.643
I  0.817  0.183  0.643
K  0.000  0.000  0.834
I  0.766  0.234  0.000
I  0.234  0.766  0.000
I  0.317  0.317  0.143
K  0.000  0.000  0.166


Density functional theory data (PBE-GGA) for an optimized crystal structure of HfTl3Cu.

For the distance to the lowest polymorph of the same formula, the calculation gives 0.000 eV per atom. For the formation energy, the calculation gives 691 meV/atom. The energy is -17.7 eV/cell. Its density of states at the Fermi level is 2.49 states/eV per cell. Its magnetization is 0.000 μB/f.u.

a = 5.076 Å, b = 5.076 Å, c = 5.076 Å
α = 90.00°, β = 90.00°, γ = 90.00°
Element x y z (fractional)
Tl  0.500  0.000  0.000
Tl  0.000  0.000  0.500
Cu  0.000  0.000  0.000
Tl  0.000  0.500  0.000
Hf  0.500  0.500  0.500


Density functional theory data (PBE-GGA) for an optimized crystal structure of Pm2Ni4HgSb3.

The energy is -50.9 eV/cell. Its density of states at the Fermi level is 5.54 states/eV per cell. For the energy relative to the elements, uncorrected, the calculation gives -0.56 eV per atom. Its magnetization is 0.000 μB/f.u.

a = 4.410 Å, b = 4.410 Å, c = 10.178 Å
α = 90.00°, β = 90.00°, γ = 90.00°
Element x y z (fractional)
Sb  0.000  0.500  0.128
Ni  0.000  0.500  0.369
Sb  0.000  0.000  0.500
Hg  0.500  0.500  0.500
Sb  0.500  0.000  0.872
Pm  0.500  0.000  0.237
Ni  0.500  0.500  0.000
Ni  0.500  0.000  0.631
Pm  0.000  0.500  0.763
Ni  0.000  0.000  0.000


Density functional theory data (PBE-GGA) for an optimized crystal structure of La4PrHo6.

For the distance to the lowest polymorph of the same formula, the calculation gives 0.000 eV per atom. For the formation energy, the calculation gives 160 meV/atom. The energy is -50.2 eV/cell. Its density of states at the Fermi level is 15.65 states/eV per cell. Its magnetization is 0.000 μB/f.u.

a = 3.550 Å, b = 11.155 Å, c = 11.155 Å
α = 120.00°, β = 90.00°, γ = 90.00°
Element x y z (fractional)
Ho  0.000  0.494  0.506
La  0.500  0.800  0.200
Pr  0.000  0.000  0.000
Ho  0.500  0.168  0.337
La  0.500  0.800  0.600
Ho  0.500  0.168  0.832
La  0.500  0.400  0.200
Ho  0.000  0.011  0.506
Ho  0.500  0.663  0.832
Ho  0.000  0.494  0.989
La  0.000  0.333  0.667


Density functional theory data (PBE-GGA) for an optimized crystal structure of Ga11Ni9Ir4.

For the formation energy, the calculation gives -305 meV/atom. The energy is -128.1 eV/cell. Its density of states at the Fermi level is 12.88 states/eV per cell. Its magnetization is 0.000 μB/f.u.

a = 2.916 Å, b = 10.728 Å, c = 10.728 Å
α = 108.60°, β = 90.00°, γ = 90.00°
Element x y z (fractional)
Ga  0.000  0.785  0.785
Ni  0.500  0.153  0.623
Ni  0.500  0.500  0.500
Ga  0.000  0.816  0.184
Ni  0.500  0.990  0.799
Ga  0.000  0.052  0.406
Ni  0.500  0.799  0.990
Ga  0.000  0.627  0.373
Ir  0.500  0.420  0.249
Ni  0.500  0.010  0.201
Ni  0.500  0.201  0.010
Ir  0.500  0.249  0.420
Ga  0.000  0.948  0.594
Ga  0.000  0.373  0.627
Ga  0.000  0.000  0.000
Ga  0.000  0.184  0.816
Ga  0.000  0.215  0.215
Ga  0.000  0.594  0.948
Ir  0.500  0.580  0.751
Ir  0.500  0.751  0.580
Ni  0.500  0.377  0.847
Ni  0.500  0.623  0.153
Ni  0.500  0.847  0.377
Ga  0.000  0.406  0.052


Density functional theory data (PBE-GGA) for an optimized crystal structure of Nd2Er2Bi5.

For the formation energy, the calculation gives -655 meV/atom. The energy is -87.9 eV/cell. Its density of states at the Fermi level is 12.46 states/eV per cell. Its magnetization is 0.000 μB/f.u.

a = 8.495 Å, b = 9.114 Å, c = 9.114 Å
α = 125.78°, β = 90.00°, γ = 90.00°
Element x y z (fractional)
Nd  0.000  0.807  0.193
Bi  0.650  0.287  0.014
Bi  0.000  0.000  0.000
Bi  0.500  0.500  0.500
Bi  0.650  0.014  0.287
Bi  0.150  0.213  0.486
Bi  0.350  0.986  0.713
Nd  0.500  0.307  0.693
Er  0.658  0.847  0.847
Er  0.158  0.653  0.653
Nd  0.000  0.193  0.807
Bi  0.850  0.787  0.514
Bi  0.150  0.486  0.213
Er  0.842  0.347  0.347
Bi  0.850  0.514  0.787
Bi  0.350  0.713  0.986
Er  0.342  0.153  0.153
Nd  0.500  0.693  0.307


Which value of energy does entry 1 give? -26.5 eV/cell


Number 1 is which compound? ScMoSe2


magnetization of number 1 (ScMoSe2)? 1.112 μB/f.u.